Ti2SiRuS (PBE, optimized geometry); energy relative to the elements, uncorrected = -0.13 eV per atom; space-group type = P4/mmm (123); uncorrected energy = -7.055 eV/atom; spin magnetization = 0.000 μB per atom
1.0
4.399 0.000 0.000
0.000 4.347 0.000
0.000 0.000 4.399
Si Ti Ru S
1 2 1 1
Direct
0.500 0.500 0.500 Si
0.500 0.000 0.000 Ti
0.000 0.000 0.500 Ti
0.000 0.500 0.000 Ru
0.000 0.000 0.000 S

***

PrDySiS (PBE, optimized geometry); energy relative to the elements, uncorrected = -1.34 eV per atom; space-group type = R3m (160); uncorrected energy = -6.076 eV/atom; spin magnetization = 0.000 μB per atom
1.0
4.110 0.000 0.000
2.055 3.559 0.000
2.055 1.186 6.802
Dy Pr Si S
1 1 1 1
Direct
0.194 0.194 0.418 Dy
0.694 0.694 0.919 Pr
0.940 0.940 0.179 Si
0.448 0.448 0.655 S

***

Pr2PuScSb4 (PBE, optimized geometry); energy relative to the elements, uncorrected = -0.95 eV per atom; space-group type = P2/m (10); uncorrected energy = -6.790 eV/atom; spin magnetization = 0.628 μB per atom
1.0
4.446 0.000 0.000
0.000 7.656 0.129
0.000 -2.679 7.174
Pu Sc Sb Pr
1 1 4 2
Direct
0.000 0.000 0.000 Pu
0.500 0.500 0.000 Sc
0.500 0.748 0.766 Sb
0.500 0.252 0.234 Sb
0.000 0.736 0.229 Sb
0.000 0.264 0.771 Sb
0.500 0.000 0.500 Pr
0.000 0.500 0.500 Pr